Entry 1:
VASP calculation (PBE) on GaReAs after structural relaxation.

Geometry as extended XYZ:
```
3
Lattice="-2.6983 -2.4009 2.2428 1.2693 -1.7883 3.6423 -1.5262 1.4143 3.7076" Properties=species:S:1:pos:R:3 pbc="T T T"
Ga -2.2164 -2.0812 7.1945
As -1.4776 -1.3875 4.7964
Re 0.0000 0.0000 0.0000
```

Values from the calculation:
Its total energy is -0.4201 Ry per atom. Its total magnetization is 0.00 μB per formula unit. The value obtained for the density is 10110 kg/m³. The energy above the most stable polymorph in this dataset comes out at 3.08 eV/f.u. For the density of states at the Fermi level, the calculation gives 0.7178 states/eV per atom.


Entry 2:
VASP calculation (PBE) on Al2TlTe after structural relaxation.

Geometry as extended XYZ:
```
8
Lattice="6.4644 0.0000 0.0000 0.0000 6.4644 0.0000 3.2322 3.2322 6.1627" Properties=species:S:1:pos:R:3 pbc="T T T"
Al 1.5708 4.8483 1.5407
Tl 6.4644 3.2322 3.0813
Al 4.8937 1.6161 1.5407
Al 4.8483 4.8030 4.6220
Al 8.0805 8.1259 4.6220
Tl 0.0000 0.0000 0.0000
Te 3.2322 6.4644 3.0813
Te 3.2322 3.2322 0.0000
```

Values from the calculation:
Its total energy is -0.2263 Ry per atom. Its total magnetization is 0.00 μB per formula unit. The value obtained for the density is 4977 kg/m³. The uncorrected formation energy comes out at 0.68 eV/f.u. The energy above the most stable polymorph in this dataset comes out at 0.47 eV/f.u. For the density of states at the Fermi level, the calculation gives 0.5435 states/eV per atom.


Entry 3:
VASP calculation (PBE) on Mg2TlZnNi after structural relaxation.

Geometry as extended XYZ:
```
5
Lattice="4.8910 0.0000 0.0000 0.0000 4.8910 0.0000 0.0000 0.0000 4.6618" Properties=species:S:1:pos:R:3 pbc="T T T"
Mg 0.0000 2.4455 0.0000
Mg 2.4455 0.0000 0.0000
Zn 0.0000 0.0000 2.3309
Tl 2.4455 2.4455 2.3309
Ni 0.0000 0.0000 0.0000
```

Values from the calculation:
Its total energy is -0.1812 Ry per atom. Its total magnetization is 0.00 μB per formula unit. The value obtained for the density is 5615 kg/m³. For the density of states at the Fermi level, the calculation gives 0.5051 states/eV per atom.


Entry 4:
VASP calculation (PBE) on Th2ScPb after structural relaxation.

Geometry as extended XYZ:
```
4
Lattice="-0.2078 -3.3717 0.7671 1.4850 -1.2148 2.8843 -9.8235 0.4975 7.3475" Properties=species:S:1:pos:R:3 pbc="T T T"
Th -7.0315 -0.0545 5.6775
Th -1.5148 -4.0346 5.3214
Pb 0.0000 0.0000 0.0000
Sc -4.2731 -2.0445 5.4995
```

Values from the calculation:
Its total energy is -0.4451 Ry per atom. Its total magnetization is 0.00 μB per formula unit. The value obtained for the density is 9447 kg/m³. The energy above the most stable polymorph in this dataset comes out at 1.43 eV/f.u. For the density of states at the Fermi level, the calculation gives 1.1094 states/eV per atom.


Q: Number 3 is which compound?
A: Mg2TlZnNi